[1]
{"formula": "Mg2ZrRh", "functional": "PBE", "state": "optimized geometry", "total_magnetization_mub_per_fu": 0.00, "e_form_mev_per_atom": -99.5, "crystal_system": "cubic", "space_group": "Fm-3m", "lattice_angstrom": [[0.0000, 3.3090, 3.3090], [3.3090, 0.0000, 3.3090], [3.3090, 3.3090, 0.0000]], "species": ["Rh", "Mg", "Mg", "Zr"], "fractional_positions": [[0.5000, 0.5000, 0.5000], [0.2500, 0.2500, 0.2500], [0.7500, 0.7500, 0.7500], [0.0000, 0.0000, 0.0000]]}



[2]
{"formula": "Al5Zn4", "functional": "PBE", "state": "optimized geometry", "total_magnetization_mub_per_fu": 0.00, "e_form_mev_per_atom": 203.0, "crystal_system": "tetragonal", "space_group": "I4/m", "relative_energy_ev_per_fu": 1.630, "lattice_angstrom": [[3.9527, 0.0000, 0.0000], [1.9764, 6.3774, 0.0000], [1.9764, 0.0000, 6.3774]], "species": ["Zn", "Zn", "Zn", "Zn", "Al", "Al", "Al", "Al", "Al"], "fractional_positions": [[0.7000, 0.6163, 0.9836], [0.3163, 0.9836, 0.3837], [0.3000, 0.3837, 0.0164], [0.6837, 0.0164, 0.6163], [0.9968, 0.6705, 0.3359], [0.5000, 0.0000, 0.0000], [0.6673, 0.3359, 0.3295], [0.0032, 0.3295, 0.6641], [0.3327, 0.6641, 0.6705]]}